A plane-wave DFT calculation with PBE-GGA was carried out for an optimized crystal structure of Ac3PrHg4.

Results
The spin magnetization is 1.322 μB/cell. Its symmetry is No. 123.

```
8
Lattice="4.005 0.000 0.000 0.000 4.005 0.000 0.000 0.000 15.980" Properties=species:S:1:pos:R:3 pbc="T T T"
Pr 2.002 2.002 0.000
Ac 2.002 2.002 3.888
Ac 2.002 2.002 7.990
Ac 2.002 2.002 12.092
Hg 0.000 0.000 14.171
Hg 0.000 0.000 1.809
Hg 0.000 0.000 5.950
Hg 0.000 0.000 10.030
```

A plane-wave DFT calculation with PBE-GGA was carried out for an optimized crystal structure of FeSbTe2I.

Results
The spin magnetization is 0.000 μB/cell. Its symmetry is No. 123. The energy relative to the lowest polymorph listed for this composition comes out at 0 kJ/mol of formula units.

```
5
Lattice="-4.813 -0.656 -1.570 1.698 -1.537 -4.562 0.114 -4.831 1.670" Properties=species:S:1:pos:R:3 pbc="T T T"
I -1.501 -3.512 -2.231
Sb 0.057 -2.416 0.835
Te 0.849 -0.769 -2.281
Te -2.406 -0.328 -0.785
Fe 0.000 0.000 0.000
```

A plane-wave DFT calculation with PBE-GGA was carried out for an optimized crystal structure of LiTb2Sc3S6.

Results
The spin magnetization is 0.000 μB/cell. Its symmetry is No. 12.

```
12
Lattice="-4.728 -2.610 3.674 6.059 -2.426 0.256 0.939 5.631 3.265" Properties=species:S:1:pos:R:3 pbc="T T T"
Li 0.000 0.000 0.000
Tb 2.454 -2.487 1.398
Tb -1.123 -2.548 2.532
Sc 4.750 0.359 2.452
Sc -2.480 0.236 4.743
Sc 1.135 0.298 3.597
S -0.058 0.344 5.911
S 1.259 -2.395 3.845
S 2.328 0.252 1.284
S 3.440 0.403 4.802
S 1.011 2.991 3.350
S -1.170 0.192 2.392
```

A plane-wave DFT calculation with PBE-GGA was carried out for an optimized crystal structure of PrInHg2.

Results
The spin magnetization is 0.000 μB/cell. Its symmetry is No. 123.

```
4
Lattice="4.521 0.000 0.000 0.000 4.823 0.000 0.000 0.000 4.823" Properties=species:S:1:pos:R:3 pbc="T T T"
Pr 2.260 2.412 2.412
Hg 0.000 0.000 2.412
Hg 0.000 2.412 0.000
In 2.260 0.000 0.000
```

A plane-wave DFT calculation with PBE-GGA was carried out for an optimized crystal structure of NiS2N2.

Results
The spin magnetization is 0.000 μB/cell. Its symmetry is No. 127. The energy relative to the lowest polymorph listed for this composition comes out at 491 kJ/mol of formula units.

```
10
Lattice="6.916 0.000 0.000 0.000 6.916 0.000 0.000 0.000 2.625" Properties=species:S:1:pos:R:3 pbc="T T T"
Ni 0.000 0.000 0.000
Ni 3.458 3.458 0.000
S 1.674 5.133 0.000
S 5.133 5.242 0.000
S 5.242 1.784 0.000
S 1.784 1.674 0.000
N 0.953 4.411 1.312
N 4.411 5.963 1.312
N 5.963 2.505 1.312
N 2.505 0.953 1.312
```

A plane-wave DFT calculation with PBE-GGA was carried out for an optimized crystal structure of Li2AgIr.

Results
The spin magnetization is 0.000 μB/cell. Its symmetry is No. 47.

```
4
Lattice="2.609 0.000 0.000 0.000 4.077 0.000 0.000 0.000 5.599" Properties=species:S:1:pos:R:3 pbc="T T T"
Ag 1.305 2.038 1.400
Ir 1.305 2.038 4.199
Li 0.000 0.000 5.444
Li 0.000 0.000 2.955
```

| no. | DOS(E_F) (states/eV/atom) | raw total energy (eV per atom) |
| --- | --- | --- |
| 1 | 1.236 | -2.7576 |
| 2 | 2.082 | -3.6812 |
| 3 | 0.453 | -6.4748 |
| 4 | 0.649 | -2.4221 |
| 5 | 0.470 | -5.2301 |
| 6 | 0.457 | -3.9366 |